Below is a relaxed structure of Pm7PrAg4, with properties calculated at the PBE-GGA level.

As for the theoretical density: 7.4 g/cm³. The formation energy is 0.033 eV per atom. Its total DFT energy (no corrections) is -4.09 eV/atom. The value obtained for the total magnetization is 0.18 μB/f.u.

It has space group C2/m (No. 12), with a = 13.7786 Å, b = 5.7528 Å, c = 10.8606 Å, α = 90.00°, β = 124.50° and γ = 90.00°. The asymmetric unit holds Pm at (0.0000, 0.0000, 0.0000), Pm at (0.0630, 0.5000, 0.3849), Pm at (0.1866, 0.0000, 0.6252), Pm at (0.2148, 0.5000, 0.8790), Pr at (0.0000, 0.5000, 0.0000), Ag at (0.0607, 0.0000, 0.7754) and Ag at (0.1875, 0.0000, 0.3352).


Below is a relaxed structure of NaNpFeN3, with properties calculated at the PBE-GGA level.

As for the theoretical density: 6.4 g/cm³. Its total DFT energy (no corrections) is -8.48 eV/atom. The value obtained for the total magnetization is 1.39 μB/f.u. The calculation puts the energy relative to the elements, uncorrected at -3.19 eV per formula unit.

It has space group P2_1/m (No. 11), with a = 6.9012 Å, b = 3.3962 Å, c = 8.0778 Å, α = 90.00°, β = 101.39° and γ = 90.00°. The asymmetric unit holds Na at (0.1686, 0.2500, 0.1702), Np at (0.3389, 0.7500, 0.8402), Fe at (0.0536, 0.2500, 0.6035), N at (0.1379, 0.2500, 0.8404), N at (0.1604, 0.7500, 0.5696) and N at (0.4536, 0.7500, 0.1238).